First-principles (PBE) data for an optimized crystal structure of InCo2Br, as listed in Alexandria via LeMat-Bulk.

Computed properties:
Its spin magnetization is 3.1 μB/cell. For the excess energy over the best structure of this formula in the dataset, the calculation gives 0.365 eV/atom.

abc: 3.238 3.238 8.169
angles: 90.00 90.00 122.74
Fractional coordinates of all 4 atoms:
Br 0.500 0.500 0.750
Co 0.000 0.000 0.990
Co 0.000 0.000 0.510
In 0.500 0.500 0.250

First-principles (PBE) data for an optimized crystal structure of Sm3Cu5Te12, as listed in Alexandria via LeMat-Bulk.

Computed properties:
Its spin magnetization is 0.0 μB/cell.

abc: 14.490 14.490 14.490
angles: 109.47 109.47 109.47
Fractional coordinates of all 80 atoms:
Sm 0.750 0.375 0.125
Sm 0.875 0.750 0.125
Sm 0.375 0.750 0.625
Sm 0.250 0.125 0.375
Sm 0.875 0.125 0.250
Sm 0.375 0.625 0.250
Sm 0.625 0.375 0.750
Sm 0.125 0.875 0.750
Sm 0.750 0.875 0.625
Sm 0.625 0.250 0.375
Sm 0.125 0.250 0.875
Sm 0.250 0.625 0.875
Cu 0.125 0.375 0.250
Cu 0.000 0.500 0.000
Cu 0.000 0.000 0.000
Cu 0.375 0.250 0.125
Cu 0.500 0.000 0.500
Cu 0.500 0.500 0.000
Cu 0.125 0.750 0.375
Cu 0.750 0.125 0.875
Cu 0.750 0.625 0.375
Cu 0.375 0.125 0.750
Cu 0.625 0.875 0.250
Cu 0.500 0.500 0.500
Cu 0.500 0.000 0.000
Cu 0.000 0.000 0.500
Cu 0.250 0.375 0.625
Cu 0.250 0.875 0.125
Cu 0.000 0.500 0.500
Cu 0.875 0.250 0.625
Cu 0.625 0.750 0.875
Cu 0.875 0.625 0.750
Te 0.707 0.120 0.031
Te 0.324 0.531 0.411
Te 0.969 0.380 0.293
Te 0.531 0.207 0.120
Te 0.587 0.707 0.676
Te 0.969 0.589 0.176
Te 0.324 0.793 0.413
Te 0.089 0.913 0.120
Te 0.589 0.969 0.676
Te 0.707 0.587 0.176
Te 0.793 0.469 0.380
Te 0.824 0.911 0.031
Te 0.120 0.707 0.531
Te 0.380 0.411 0.087
Te 0.087 0.911 0.380
Te 0.413 0.120 0.589
Te 0.087 0.176 0.207
Te 0.469 0.676 0.089
Te 0.824 0.913 0.293
Te 0.120 0.413 0.089
Te 0.380 0.969 0.793
Te 0.589 0.620 0.413
Te 0.911 0.824 0.531
Te 0.793 0.324 0.913
Te 0.411 0.380 0.587
Te 0.089 0.176 0.469
Te 0.207 0.676 0.087
Te 0.176 0.087 0.707
Te 0.620 0.031 0.207
Te 0.880 0.587 0.911
Te 0.531 0.324 0.911
Te 0.587 0.880 0.411
Te 0.913 0.824 0.793
Te 0.913 0.089 0.620
Te 0.880 0.293 0.469
Te 0.176 0.089 0.969
Te 0.620 0.589 0.913
Te 0.411 0.031 0.324
Te 0.293 0.413 0.824
Te 0.207 0.531 0.620
Te 0.911 0.087 0.880
Te 0.676 0.207 0.587
Te 0.469 0.793 0.880
Te 0.031 0.411 0.824
Te 0.413 0.293 0.324
Te 0.031 0.620 0.707
Te 0.676 0.469 0.589
Te 0.293 0.880 0.969

In order of appearance, ΔE_f (raw) = 620 -435 meV/atom.
In order of appearance, volume = 18.01 29.27 Å³ per atom.